Compound: LiGaRu
Source: the Alexandria database
Functional: PBE-GGA
Structure: relaxed

Summary:
volume = 132.4 Å³ per cell
electronic total energy = -42.8 eV for the cell shown
space-group type = No. 160
total moment = 0.00 μB/f.u.

a = 2.803 Å, b = 2.803 Å, c = 19.454 Å
α = 90.00°, β = 90.00°, γ = 120.00°
Fractional positions:
Li1 0.000 0.000 0.132
Li2 0.333 0.667 0.799
Li3 0.667 0.333 0.466
Ru1 0.000 0.000 0.912
Ru2 0.667 0.333 0.245
Ru3 0.333 0.667 0.578
Ga1 0.333 0.667 0.350
Ga2 0.667 0.333 0.017
Ga3 0.000 0.000 0.684